NpSF3 | PBE-GGA | optimized geometry

Summary:
V = 22.9 Å³ per atom
E = -7.15 eV per atom
total moment = 0.40 μB per atom

Cell and atoms, written as CIF:
```
data_NpSF3
_chemical_formula_sum 'Np4 S4 F12'
_space_group_name_H-M_alt 'P 1 21/c 1'
_space_group_IT_number 14
_cell_length_a 8.285
_cell_length_b 5.663
_cell_length_c 12.526
_cell_angle_alpha 90.00
_cell_angle_beta 128.80
_cell_angle_gamma 90.00
loop_
_space_group_symop_operation_xyz
'x,y,z'
'-x,-y,-z'
'-x,y+1/2,-z+1/2'
'x,-y+1/2,z+1/2'
loop_
_atom_site_label
_atom_site_fract_x
_atom_site_fract_y
_atom_site_fract_z
_atom_site_occupancy
Np1 0.145 0.020 0.200 1
S1 0.164 0.690 0.524 1
F1 0.051 0.231 0.307 1
F2 0.321 0.202 0.725 1
F3 0.391 0.641 0.868 1
```


Te3AsI | PBE-GGA | optimized geometry

Summary:
V = 33.2 Å³ per atom
total moment = 0.00 μB per atom
excess energy over the best structure of this formula in the dataset = 361.4 meV/atom

Cell and atoms, written as CIF:
```
data_Te3AsI
_chemical_formula_sum 'Te3 As1 I1'
_space_group_name_H-M_alt 'P m -3 m'
_space_group_IT_number 221
_space_group_name_Hall '-P 4 2 3'
_cell_length_a 5.498
_cell_length_b 5.498
_cell_length_c 5.498
_cell_angle_alpha 90.00
_cell_angle_beta 90.00
_cell_angle_gamma 90.00
loop_
_atom_site_label
_atom_site_fract_x
_atom_site_fract_y
_atom_site_fract_z
_atom_site_occupancy
Te1 0.000 0.000 0.500 1
As1 0.000 0.000 0.000 1
I1 0.500 0.500 0.500 1
```


Tl3NiBr6 | PBE-GGA | optimized geometry

Summary:
V = 35.6 Å³ per atom
total moment = 0.10 μB per atom
excess energy over the best structure of this formula in the dataset = 12.4 meV/atom

Cell and atoms, written as CIF:
```
data_Tl3NiBr6
_chemical_formula_sum 'Tl18 Ni6 Br36'
_space_group_name_H-M_alt 'R -3'
_space_group_IT_number 148
_space_group_name_Hall '-R 3'
_cell_length_a 12.9344
_cell_length_b 12.9344
_cell_length_c 14.7544
_cell_angle_alpha 90.00
_cell_angle_beta 90.00
_cell_angle_gamma 120.00
loop_
_atom_site_label
_atom_site_fract_x
_atom_site_fract_y
_atom_site_fract_z
_atom_site_occupancy
Tl1 0.0439 0.7749 0.2035 1
Ni1 0.0000 0.0000 0.0000 1
Ni2 0.0000 0.0000 0.5000 1
Br1 0.0150 0.8501 0.4038 1
Br2 0.0246 0.8536 0.9010 1
```


Sc2TeSe | PBE-GGA | optimized geometry

Summary:
V = 21.8 Å³ per atom
total moment = 0.35 μB per atom
excess energy over the best structure of this formula in the dataset = 313.0 meV/atom

Cell and atoms, written as CIF:
```
data_Sc2TeSe
_chemical_formula_sum 'Sc4 Te2 Se2'
_space_group_name_H-M_alt 'C 1 2/m 1'
_space_group_IT_number 12
_cell_length_a 7.039
_cell_length_b 7.040
_cell_length_c 3.527
_cell_angle_alpha 90.00
_cell_angle_beta 90.15
_cell_angle_gamma 90.00
loop_
_space_group_symop_operation_xyz
'x,y,z'
'-x,-y,-z'
'-x,y,-z'
'x,-y,z'
'x+1/2,y+1/2,z'
'-x+1/2,-y+1/2,-z'
'-x+1/2,y+1/2,-z'
'x+1/2,-y+1/2,z'
loop_
_atom_site_label
_atom_site_fract_x
_atom_site_fract_y
_atom_site_fract_z
_atom_site_occupancy
Sc1 0.250 0.250 0.000 1
Te1 0.000 0.000 0.500 1
Se1 0.000 0.500 0.500 1
```